Record 1
VASP calculation (PBE) on a relaxed structure of TcNiMo2.

Cell and atoms, written as extended XYZ:
```
4
Lattice="2.730 0.000 0.000 0.000 2.730 0.000 0.000 0.000 7.719" Properties=species:S:1:pos:R:3 pbc="T T T"
Tc 0.000 0.000 0.000
Ni 0.000 0.000 3.860
Mo 1.365 1.365 2.001
Mo 1.365 1.365 5.719
```

Computed properties:
- energy relative to the lowest polymorph listed for this composition (meV/atom) = 112.1
- VASP energy (eV/atom) = -9.3335
- SG = P4/mmm, No. 123
- total moment (μB per formula unit) = 0.00
- V (Å³/atom) = 14.4
- formation energy from the elements (eV/atom) = 0.119

***

Record 2
VASP calculation (PBE) on a relaxed structure of TcNiMo2.

Cell and atoms, written as extended XYZ:
```
4
Lattice="2.643 0.000 0.000 0.000 2.643 0.000 0.000 0.000 8.262" Properties=species:S:1:pos:R:3 pbc="T T T"
Tc 0.000 0.000 0.000
Ni 1.322 1.322 6.425
Mo 0.000 0.000 4.502
Mo 1.322 1.322 2.195
```

Computed properties:
- energy relative to the lowest polymorph listed for this composition (meV/atom) = 133.7
- VASP energy (eV/atom) = -9.3119
- SG = P4mm, No. 99
- total moment (μB per formula unit) = 0.00
- V (Å³/atom) = 14.4
- formation energy from the elements (eV/atom) = 0.140

***

Record 3
VASP calculation (PBE) on a relaxed structure of TcNiMo.

Cell and atoms, written as extended XYZ:
```
3
Lattice="0.000 2.855 2.855 2.855 0.000 2.855 2.855 2.855 0.000" Properties=species:S:1:pos:R:3 pbc="T T T"
Tc 0.000 0.000 0.000
Ni 4.282 4.282 4.282
Mo 2.855 2.855 2.855
```

Computed properties:
- energy relative to the lowest polymorph listed for this composition (meV/atom) = 600.1
- VASP energy (eV/atom) = -8.3286
- SG = F-43m, No. 216
- total moment (μB per formula unit) = 0.00
- V (Å³/atom) = 15.5
- formation energy from the elements (eV/atom) = 0.664

***

Record 4
VASP calculation (PBE) on a relaxed structure of TcNi2Mo.

Cell and atoms, written as extended XYZ:
```
4
Lattice="2.593 0.000 0.000 0.000 3.861 0.000 0.000 0.000 5.191" Properties=species:S:1:pos:R:3 pbc="T T T"
Tc 0.000 0.000 0.000
Ni 1.297 1.930 1.271
Ni 1.297 1.930 3.920
Mo 0.000 0.000 2.596
```

Computed properties:
- energy relative to the lowest polymorph listed for this composition (meV/atom) = 57.6
- VASP energy (eV/atom) = -8.1783
- SG = Pmmm, No. 47
- total moment (μB per formula unit) = 0.00
- V (Å³/atom) = 13.0
- formation energy from the elements (eV/atom) = 0.012

***

Record 5
VASP calculation (PBE) on a relaxed structure of TcNi2Mo.

Cell and atoms, written as extended XYZ:
```
4
Lattice="3.118 0.000 0.000 0.000 3.118 0.000 0.000 0.000 5.407" Properties=species:S:1:pos:R:3 pbc="T T T"
Tc 0.000 0.000 0.000
Ni 0.000 0.000 2.846
Ni 1.559 1.559 3.977
Mo 1.559 1.559 1.443
```

Computed properties:
- energy relative to the lowest polymorph listed for this composition (meV/atom) = 77.0
- VASP energy (eV/atom) = -8.1589
- SG = P4mm, No. 99
- total moment (μB per formula unit) = 0.00
- V (Å³/atom) = 13.1
- formation energy from the elements (eV/atom) = 0.031

***

Record 6
VASP calculation (PBE) on a relaxed structure of Tc2NiMo.

Cell and atoms, written as extended XYZ:
```
4
Lattice="2.664 0.000 0.000 0.000 2.664 0.000 0.000 0.000 7.939" Properties=species:S:1:pos:R:3 pbc="T T T"
Tc 0.000 0.000 1.845
Tc 0.000 0.000 6.094
Ni 1.332 1.332 0.000
Mo 1.332 1.332 3.970
```

Computed properties:
- energy relative to the lowest polymorph listed for this composition (meV/atom) = 167.5
- VASP energy (eV/atom) = -9.1836
- SG = P4/mmm, No. 123
- total moment (μB per formula unit) = 0.00
- V (Å³/atom) = 14.1
- formation energy from the elements (eV/atom) = 0.152